## BeCoAs (GGA-PBE)

Data for a geometry-optimized BeCoAs structure.

The structure belongs to space group Imm2 (No. 44); the cell edges are 3.0784, 3.1251 and 7.0318 Å and the angles 90.00°, 90.00° and 90.00°. The distinct sites, in fractional coordinates, are Be at (0.0000, 0.0000, 0.0000), Co at (0.0000, 0.0000, 0.3365) and As at (0.0000, 0.0000, 0.6751).

For the raw total energy, the calculation gives -31.44 eV per cell. The value obtained for the calculated formation energy is -0.0789 eV per atom. For the energy relative to the lowest polymorph listed for this composition, the calculation gives 54 meV per atom.

---

## BeCoAs2 (GGA-PBE)

Data for a geometry-optimized BeCoAs2 structure.

The structure belongs to space group Cmmm (No. 65); the cell edges are 5.2447, 6.6593 and 3.1130 Å and the angles 90.00°, 90.00° and 90.00°. The distinct sites, in fractional coordinates, are Be at (0.0000, 0.0000, 0.0000), Co at (0.0000, 0.5000, 0.0000) and As at (0.2500, 0.2500, 0.5000).

For the raw total energy, the calculation gives -37.90 eV per cell. The value obtained for the calculated formation energy is 0.2947 eV per atom.

---

## BeCoAs2 (GGA-PBE)

Data for a geometry-optimized BeCoAs2 structure.

The structure belongs to space group I-4m2 (No. 119); the cell edges are 3.5694, 3.5694 and 8.6130 Å and the angles 90.00°, 90.00° and 90.00°. The distinct sites, in fractional coordinates, are Be at (0.0000, 0.0000, 0.0000), Co at (0.0000, 0.5000, 0.7500), As at (0.0000, 0.0000, 0.5000) and As at (0.0000, 0.5000, 0.2500).

For the raw total energy, the calculation gives -37.38 eV per cell. The value obtained for the calculated formation energy is 0.3600 eV per atom.